#i
First-principles (GGA-PBE) data for a relaxed structure of NaEuPb, as listed in Alexandria via LeMat-Bulk.

```
data_NaEuPb
_symmetry_space_group_name_H-M 'P 1'
_symmetry_Int_Tables_number 1
_symmetry_space_group_name_Hall 'P 1'
_cell_length_a 5.433
_cell_length_b 5.433
_cell_length_c 3.712
_cell_angle_alpha 90.00
_cell_angle_beta 90.00
_cell_angle_gamma 120.00
loop_
_atom_site_label
_atom_site_type_symbol
_atom_site_fract_x
_atom_site_fract_y
_atom_site_fract_z
Na1 Na 0.000 0.000 0.000
Eu1 Eu 0.333 0.667 0.498
Pb1 Pb 0.667 0.333 0.997
```

=====

#ii
First-principles (GGA-PBE) data for a relaxed structure of NaEuPb, as listed in Alexandria via LeMat-Bulk.

```
data_NaEuPb
_symmetry_space_group_name_H-M 'P 1'
_symmetry_Int_Tables_number 1
_symmetry_space_group_name_Hall 'P 1'
_cell_length_a 5.450
_cell_length_b 5.450
_cell_length_c 5.450
_cell_angle_alpha 60.00
_cell_angle_beta 60.00
_cell_angle_gamma 60.00
loop_
_atom_site_label
_atom_site_type_symbol
_atom_site_fract_x
_atom_site_fract_y
_atom_site_fract_z
Na1 Na 0.000 0.000 0.000
Eu1 Eu 0.500 0.500 0.500
Pb1 Pb 0.750 0.750 0.750
```

=====

#iii
First-principles (GGA-PBE) data for a relaxed structure of NaEuPb, as listed in Alexandria via LeMat-Bulk.

```
data_NaEuPb
_symmetry_space_group_name_H-M 'P 1'
_symmetry_Int_Tables_number 1
_symmetry_space_group_name_Hall 'P 1'
_cell_length_a 6.159
_cell_length_b 6.159
_cell_length_c 6.159
_cell_angle_alpha 139.57
_cell_angle_beta 139.57
_cell_angle_gamma 58.51
loop_
_atom_site_label
_atom_site_type_symbol
_atom_site_fract_x
_atom_site_fract_y
_atom_site_fract_z
Na1 Na 0.000 0.000 0.000
Eu1 Eu 0.312 0.312 0.000
Pb1 Pb 0.646 0.646 0.000
```

=====

Stability, highest: #i